The following is a DFT calculation (PBE with a Hubbard U) of a relaxed VTeNO2 crystal.

## Properties
**SG**: P4/mmm

Geometry as CIF:
```
data_VTeNO2
_cell_length_a 3.758
_cell_length_b 3.758
_cell_length_c 4.225
_cell_angle_alpha 90.00
_cell_angle_beta 90.00
_cell_angle_gamma 90.00
_space_group_name_H-M_alt 'P 1'
_space_group_IT_number 1
_space_group_name_Hall 'P 1'
loop_
_atom_site_label
_atom_site_type_symbol
_atom_site_fract_x
_atom_site_fract_y
_atom_site_fract_z
_atom_site_occupancy
V1 V 0.000 0.000 0.000 1
Te1 Te 0.500 0.500 0.500 1
N1 N 0.000 0.000 0.500 1
O1 O 0.000 0.500 0.000 1
O2 O 0.500 0.000 0.000 1
```

The following is a DFT calculation (PBE with a Hubbard U) of a relaxed VTeNO2 crystal.

## Properties
**SG**: P4/mmm

Geometry as CIF:
```
data_VTeNO2
_cell_length_a 4.031
_cell_length_b 4.031
_cell_length_c 4.105
_cell_angle_alpha 90.00
_cell_angle_beta 90.00
_cell_angle_gamma 90.00
_space_group_name_H-M_alt 'P 1'
_space_group_IT_number 1
_space_group_name_Hall 'P 1'
loop_
_atom_site_label
_atom_site_type_symbol
_atom_site_fract_x
_atom_site_fract_y
_atom_site_fract_z
_atom_site_occupancy
V1 V 0.000 0.000 0.000 1
Te1 Te 0.500 0.500 0.500 1
N1 N 0.500 0.500 0.000 1
O1 O 0.000 0.500 0.500 1
O2 O 0.500 0.000 0.500 1
```

The following is a DFT calculation (PBE with a Hubbard U) of a relaxed TeWN2O crystal.

## Properties
**SG**: P4/mmm

Geometry as CIF:
```
data_TeWN2O
_cell_length_a 4.057
_cell_length_b 4.057
_cell_length_c 4.127
_cell_angle_alpha 90.00
_cell_angle_beta 90.00
_cell_angle_gamma 90.00
_space_group_name_H-M_alt 'P 1'
_space_group_IT_number 1
_space_group_name_Hall 'P 1'
loop_
_atom_site_label
_atom_site_type_symbol
_atom_site_fract_x
_atom_site_fract_y
_atom_site_fract_z
_atom_site_occupancy
Te1 Te 0.000 0.000 0.000 1
W1 W 0.500 0.500 0.000 1
N1 N 0.000 0.500 0.500 1
N2 N 0.500 0.000 0.500 1
O1 O 0.000 0.000 0.500 1
```

The following is a DFT calculation (PBE with a Hubbard U) of a relaxed TeWN2O crystal.

## Properties
**SG**: P4/mmm

Geometry as CIF:
```
data_TeWN2O
_cell_length_a 4.115
_cell_length_b 4.115
_cell_length_c 3.902
_cell_angle_alpha 90.00
_cell_angle_beta 90.00
_cell_angle_gamma 90.00
_space_group_name_H-M_alt 'P 1'
_space_group_IT_number 1
_space_group_name_Hall 'P 1'
loop_
_atom_site_label
_atom_site_type_symbol
_atom_site_fract_x
_atom_site_fract_y
_atom_site_fract_z
_atom_site_occupancy
Te1 Te 0.000 0.000 0.000 1
W1 W 0.500 0.500 0.500 1
N1 N 0.000 0.500 0.500 1
N2 N 0.500 0.000 0.500 1
O1 O 0.500 0.500 0.000 1
```

The following is a DFT calculation (PBE with a Hubbard U) of a relaxed TeWN2O crystal.

## Properties
**SG**: P4/mmm

Geometry as CIF:
```
data_TeWN2O
_cell_length_a 3.811
_cell_length_b 3.811
_cell_length_c 5.858
_cell_angle_alpha 90.00
_cell_angle_beta 90.00
_cell_angle_gamma 90.00
_space_group_name_H-M_alt 'P 1'
_space_group_IT_number 1
_space_group_name_Hall 'P 1'
loop_
_atom_site_label
_atom_site_type_symbol
_atom_site_fract_x
_atom_site_fract_y
_atom_site_fract_z
_atom_site_occupancy
Te1 Te 0.000 0.000 0.000 1
W1 W 0.000 0.000 0.500 1
N1 N 0.000 0.500 0.500 1
N2 N 0.500 0.000 0.500 1
O1 O 0.500 0.500 0.000 1
```

The following is a DFT calculation (PBE with a Hubbard U) of a relaxed TeWN2O crystal.

## Properties
**SG**: P4/mmm

Geometry as CIF:
```
data_TeWN2O
_cell_length_a 4.128
_cell_length_b 4.128
_cell_length_c 3.908
_cell_angle_alpha 90.00
_cell_angle_beta 90.00
_cell_angle_gamma 90.00
_space_group_name_H-M_alt 'P 1'
_space_group_IT_number 1
_space_group_name_Hall 'P 1'
loop_
_atom_site_label
_atom_site_type_symbol
_atom_site_fract_x
_atom_site_fract_y
_atom_site_fract_z
_atom_site_occupancy
Te1 Te 0.000 0.000 0.000 1
W1 W 0.500 0.500 0.500 1
N1 N 0.000 0.500 0.000 1
N2 N 0.500 0.000 0.000 1
O1 O 0.000 0.000 0.500 1
```

Magnetization readings, ordered: 0.00, 0.62, 0.30, 0.00, 0.00, 0.65 μB per atom
Total DFT energy (no corrections) readings, ordered: -30.14, -27.73, -22.20, -30.72, -28.40, -26.56 eV for the cell shown